No. 1
## La2Ag2Ge3 (GGA-PBE)

Data for a geometry-optimized La2Ag2Ge3 structure.

Results
mass density	7.4	Mg/m³
space-group type	No. 63
ΔH_f (0 K)	-0.614	eV/atom

Geometry as POSCAR:
```
La2Ag2Ge3
1.0
2.2827 -9.6172 0.0000
2.2827 9.6172 0.0000
0.0000 0.0000 7.2460
La Ag Ge
4 4 6
Direct
0.0525 0.9475 0.7500 La
0.1554 0.8446 0.2500 La
0.8446 0.1554 0.7500 La
0.9475 0.0525 0.2500 La
0.3116 0.6884 0.0562 Ag
0.3116 0.6884 0.4438 Ag
0.6884 0.3116 0.5562 Ag
0.6884 0.3116 0.9438 Ag
0.2224 0.7776 0.7500 Ge
0.4409 0.5591 0.5720 Ge
0.4409 0.5591 0.9280 Ge
0.5591 0.4409 0.0720 Ge
0.5591 0.4409 0.4280 Ge
0.7776 0.2224 0.2500 Ge
```

***

No. 2
## La8Ag2Ge (GGA-PBE)

Data for a geometry-optimized La8Ag2Ge structure.

Results
mass density	6.6	Mg/m³
space-group type	No. 8
ΔH_f (0 K)	-0.147	eV/atom

Geometry as POSCAR:
```
La8Ag2Ge
1.0
4.2949 -7.2523 0.0000
4.2949 7.2523 0.0000
-1.5725 0.0000 5.6627
La Ag Ge
8 2 1
Direct
0.0000 0.0000 0.0000 La
0.0246 0.2732 0.5426 La
0.1194 0.5628 0.1965 La
0.2732 0.0246 0.5426 La
0.4268 0.6342 0.8154 La
0.5628 0.1194 0.1965 La
0.6342 0.4268 0.8154 La
0.7426 0.7426 0.4006 La
0.0445 0.6652 0.7144 Ag
0.6652 0.0445 0.7144 Ag
0.3692 0.3692 0.2870 Ge
```

***

No. 3
## La3AgGe (GGA-PBE)

Data for a geometry-optimized La3AgGe structure.

Results
mass density	5.2	Mg/m³
polymorph energy (0 for the lowest one)	401	meV per atom
space-group type	No. 221
ΔH_f (0 K)	-0.010	eV/atom

Geometry as POSCAR:
```
La3AgGe
1.0
5.7659 0.0000 0.0000
0.0000 5.7659 0.0000
0.0000 0.0000 5.7659
La Ag Ge
3 1 1
Direct
0.0000 0.0000 0.5000 La
0.0000 0.5000 0.0000 La
0.5000 0.0000 0.0000 La
0.5000 0.5000 0.5000 Ag
0.0000 0.0000 0.0000 Ge
```

***

No. 4
## La7Ag2Ge2 (GGA-PBE)

Data for a geometry-optimized La7Ag2Ge2 structure.

Results
mass density	6.4	Mg/m³
space-group type	No. 65
ΔH_f (0 K)	-0.159	eV/atom

Geometry as POSCAR:
```
La7Ag2Ge2
1.0
4.1501 -5.5959 0.0000
4.1501 5.5959 0.0000
0.0000 0.0000 7.4025
La Ag Ge
7 2 2
Direct
0.0000 0.0000 0.0000 La
0.0000 0.5000 0.2977 La
0.0000 0.5000 0.7023 La
0.5000 0.0000 0.2977 La
0.5000 0.0000 0.7023 La
0.5000 0.5000 0.2907 La
0.5000 0.5000 0.7093 La
0.2890 0.7110 0.0000 Ag
0.7110 0.2890 0.0000 Ag
0.1577 0.1577 0.5000 Ge
0.8423 0.8423 0.5000 Ge
```

***

No. 5
## La2AgGe4 (GGA-PBE)

Data for a geometry-optimized La2AgGe4 structure.

Results
mass density	6.0	Mg/m³
space-group type	No. 139
ΔH_f (0 K)	-0.163	eV/atom

Geometry as POSCAR:
```
La2AgGe4
1.0
-2.4672 2.4672 7.6508
2.4672 -2.4672 7.6508
2.4672 2.4672 -7.6508
La Ag Ge
2 1 4
Direct
0.1369 0.1369 0.0000 La
0.8631 0.8631 0.0000 La
0.5000 0.5000 0.0000 Ag
0.0000 0.5000 0.5000 Ge
0.3322 0.3322 0.0000 Ge
0.5000 0.0000 0.5000 Ge
0.6678 0.6678 0.0000 Ge
```

***

No. 6
## LaAgGe (GGA-PBE)

Data for a geometry-optimized LaAgGe structure.

Results
mass density	6.9	Mg/m³
space-group type	No. 107
ΔH_f (0 K)	-0.227	eV/atom

Geometry as POSCAR:
```
LaAgGe
1.0
-2.1049 2.1049 4.3611
2.1049 -2.1049 4.3611
2.1049 2.1049 -4.3611
La Ag Ge
1 1 1
Direct
0.0000 0.0000 0.0000 La
0.6561 0.6561 0.0000 Ag
0.3482 0.3482 0.0000 Ge
```

***

No. 7
## LaAgGe (GGA-PBE)

Data for a geometry-optimized LaAgGe structure.

Results
mass density	7.1	Mg/m³
space-group type	No. 63
ΔH_f (0 K)	-0.484	eV/atom

Geometry as POSCAR:
```
LaAgGe
1.0
2.9411 -4.0339 0.0000
2.9411 4.0339 0.0000
0.0000 0.0000 6.2588
La Ag Ge
2 2 2
Direct
0.1497 0.8503 0.7500 La
0.8503 0.1497 0.2500 La
0.5000 0.5000 0.0000 Ag
0.5000 0.5000 0.5000 Ag
0.2319 0.7681 0.2500 Ge
0.7681 0.2319 0.7500 Ge
```

***

No. 8
## LaAgGe (GGA-PBE)

Data for a geometry-optimized LaAgGe structure.

Results
mass density	6.8	Mg/m³
space-group type	No. 129
ΔH_f (0 K)	0.066	eV/atom

Geometry as POSCAR:
```
LaAgGe
1.0
4.6788 0.0000 0.0000
0.0000 4.6788 0.0000
0.0000 0.0000 7.1130
La Ag Ge
2 2 2
Direct
0.2500 0.7500 0.0000 La
0.7500 0.2500 0.0000 La
0.2500 0.2500 0.3305 Ag
0.7500 0.7500 0.6695 Ag
0.2500 0.2500 0.6951 Ge
0.7500 0.7500 0.3049 Ge
```

***

No. 9
## LaAgGe (GGA-PBE)

Data for a geometry-optimized LaAgGe structure.

Results
mass density	7.3	Mg/m³
space-group type	No. 8
ΔH_f (0 K)	-0.460	eV/atom

Geometry as POSCAR:
```
LaAgGe
1.0
5.0445 -2.2877 0.0000
5.0445 2.2877 0.0000
-0.0732 0.0000 6.2899
La Ag Ge
2 2 2
Direct
0.0000 0.0000 0.0000 La
0.6216 0.6216 0.5716 La
0.3263 0.3263 0.2971 Ag
0.7078 0.7078 0.0813 Ag
0.3069 0.3069 0.8184 Ge
0.9242 0.9242 0.4778 Ge
```

***

No. 10
## La5Ag2Ge2 (GGA-PBE)

Data for a geometry-optimized La5Ag2Ge2 structure.

Results
mass density	6.6	Mg/m³
space-group type	No. 64
ΔH_f (0 K)	-0.500	eV/atom

Geometry as POSCAR:
```
La5Ag2Ge2
1.0
8.1271 -4.0564 0.0000
8.1271 4.0564 0.0000
0.0000 0.0000 8.0448
La Ag Ge
10 4 4
Direct
0.0000 0.0000 0.0000 La
0.0451 0.6908 0.6722 La
0.1908 0.5451 0.1722 La
0.3092 0.9549 0.6722 La
0.4549 0.8092 0.1722 La
0.5000 0.5000 0.5000 La
0.5451 0.1908 0.8278 La
0.6908 0.0451 0.3278 La
0.8092 0.4549 0.8278 La
0.9549 0.3092 0.3278 La
0.2106 0.2106 0.0000 Ag
0.2894 0.2894 0.5000 Ag
0.7106 0.7106 0.5000 Ag
0.7894 0.7894 0.0000 Ag
0.1236 0.8764 0.3760 Ge
0.3764 0.6236 0.8760 Ge
0.6236 0.3764 0.1240 Ge
0.8764 0.1236 0.6240 Ge
```

***

No. 11
## La5Ag2Ge (GGA-PBE)

Data for a geometry-optimized La5Ag2Ge structure.

Results
mass density	6.8	Mg/m³
space-group type	No. 140
ΔH_f (0 K)	-0.334	eV/atom

Geometry as POSCAR:
```
La5Ag2Ge
1.0
-3.9003 3.9003 7.8781
3.9003 -3.9003 7.8781
3.9003 3.9003 -7.8781
La Ag Ge
10 4 2
Direct
0.0000 0.0000 0.0000 La
0.0056 0.5056 0.8296 La
0.1759 0.0056 0.5000 La
0.3241 0.8241 0.8296 La
0.4944 0.3241 0.5000 La
0.5000 0.5000 0.0000 La
0.5056 0.6759 0.5000 La
0.6759 0.1759 0.1704 La
0.8241 0.9944 0.5000 La
0.9944 0.4944 0.1704 La
0.1271 0.3729 0.5000 Ag
0.3729 0.8729 0.2458 Ag
0.6271 0.1271 0.7542 Ag
0.8729 0.6271 0.5000 Ag
0.2500 0.2500 0.0000 Ge
0.7500 0.7500 0.0000 Ge
```

***

No. 12
## La3Ag7Ge4 (GGA-PBE)

Data for a geometry-optimized La3Ag7Ge4 structure.

Results
mass density	8.0	Mg/m³
space-group type	No. 12
ΔH_f (0 K)	-0.405	eV/atom

Geometry as POSCAR:
```
La3Ag7Ge4
1.0
8.3239 -2.2683 0.0000
8.3239 2.2683 0.0000
-5.6506 0.0000 7.9940
La Ag Ge
3 7 4
Direct
0.0000 0.0000 0.0000 La
0.3010 0.3010 0.2976 La
0.6990 0.6990 0.7024 La
0.0000 0.0000 0.5000 Ag
0.1508 0.1508 0.4173 Ag
0.3317 0.3317 0.9839 Ag
0.4918 0.4918 0.6904 Ag
0.5082 0.5082 0.3096 Ag
0.6683 0.6683 0.0161 Ag
0.8492 0.8492 0.5827 Ag
0.1251 0.1251 0.8378 Ge
0.3414 0.3414 0.7232 Ge
0.6586 0.6586 0.2768 Ge
0.8749 0.8749 0.1622 Ge
```

***

Copy entry 9 word for word.
## LaAgGe (GGA-PBE)

Data for a geometry-optimized LaAgGe structure.

Results
mass density	7.3	Mg/m³
space-group type	No. 8
ΔH_f (0 K)	-0.460	eV/atom

Geometry as POSCAR:
```
LaAgGe
1.0
5.0445 -2.2877 0.0000
5.0445 2.2877 0.0000
-0.0732 0.0000 6.2899
La Ag Ge
2 2 2
Direct
0.0000 0.0000 0.0000 La
0.6216 0.6216 0.5716 La
0.3263 0.3263 0.2971 Ag
0.7078 0.7078 0.0813 Ag
0.3069 0.3069 0.8184 Ge
0.9242 0.9242 0.4778 Ge
```